[1]
Below is CaPaNiAs2 after structural relaxation, with properties calculated at the PBE level. Values from VASP.

```
&SYSTEM
  ibrav = 0, nat = 5, ntyp = 4
/
ATOMIC_SPECIES
Ca 40.08 Ca.upf
Pa 231.04 Pa.upf
Ni 58.69 Ni.upf
As 74.92 As.upf
ATOMIC_POSITIONS angstrom
Ca 0.000 0.000 8.184
Pa 1.970 1.137 3.505
Ni 0.000 2.275 5.433
As 0.000 2.275 1.718
As 1.970 1.137 6.263
CELL_PARAMETERS angstrom
3.940 0.000 0.000
-1.970 3.412 0.000
0.000 0.000 8.368
```

- ρ: 7.1 Mg/m³
- Calculated formation energy: -0.68 eV per atom
- E: -30.00 eV for the cell shown
- DOS at the Fermi energy: 6.24 states/eV per cell

[2]
Below is Ca2Ni4As3Pd after structural relaxation, with properties calculated at the PBE level. Values from VASP.

```
&SYSTEM
  ibrav = 0, nat = 10, ntyp = 4
/
ATOMIC_SPECIES
Ca 40.08 Ca.upf
Ni 58.69 Ni.upf
As 74.92 As.upf
Pd 106.42 Pd.upf
ATOMIC_POSITIONS angstrom
Ca 2.042 0.000 2.487
Ca 0.000 2.042 7.429
Ni 2.042 2.042 0.000
Ni 0.000 0.000 0.000
Ni 2.042 0.000 6.359
Ni 0.000 2.042 3.557
As 0.000 0.000 4.958
As 2.042 0.000 8.652
As 0.000 2.042 1.265
Pd 2.042 2.042 4.958
CELL_PARAMETERS angstrom
4.084 0.000 0.000
0.000 4.084 0.000
0.000 0.000 9.917
```

- ρ: 6.5 Mg/m³
- Calculated formation energy: -0.60 eV per atom
- E: -52.29 eV for the cell shown
- DOS at the Fermi energy: 7.01 states/eV per cell